VASP calculation (PBE-GGA) on a geometry-optimized Ce6SnGe2 structure.

a = 8.2005 Å, b = 8.2005 Å, c = 4.1426 Å
α = 90.00°, β = 90.00°, γ = 120.00°
Closest atoms and distances in Å follow each position.
Space group P-62m (No. 189)
One atom of each set of equivalent atoms:
Ce 0.0000 0.4423 0.0000 [3 per cell]  2 Ce 3.03, 4 Ge 3.18
Ce 0.0000 0.7120 0.5000 [3 per cell]  2 Ge 2.94, 2 Ce 3.03, 2 Sn 3.14
Sn 0.0000 0.0000 0.0000 [1 per cell]  6 Ce 3.14
Ge 0.3333 0.6667 0.5000 [2 per cell]  9 Ce 2.94-3.18

Summary:
ΔE_f	-0.499	eV/atom
density of states at the Fermi level	23.2	states/eV per cell
E above lowest polymorph	0.0	meV per atom
E_tot	-53.33	eV/cell